First-principles (PBE) data for a relaxed Ca2TmTe3 crystal, as listed in Alexandria via LeMat-Bulk.

Computed properties:
The value obtained for the volume is 184 Å³/f.u. The space-group type is Immm, No. 71. The value obtained for the uncorrected formation energy is -1.475 eV per atom.

Lattice parameters (Å, degrees): 7.6838 7.6838 7.6838 146.60 131.88 59.83
Last column: nearest neighbours and their distance in Å.
Atoms (fractional coordinates):
Ca (0.1689, 0.1689, 0.0000)  6 Te 3.13-3.17
Ca (0.8311, 0.8311, 0.0000)  6 Te 3.13-3.17
Tm (0.5000, 0.5000, 0.0000)  6 Te 3.07-3.13
Te (0.0000, 0.5000, 0.5000)  2 Tm 3.13, 4 Ca 3.15
Te (0.3395, 0.8395, 0.5000)  2 Tm 3.07, 4 Ca 3.13-3.17
Te (0.6605, 0.1605, 0.5000)  2 Tm 3.07, 4 Ca 3.13-3.17